Entry 1:
Entry from the Alexandria database: crystalline TaGe2Ru2 at its relaxed geometry (PBE).

Cell and atoms, written as POSCAR:
```
TaGe2Ru2
1.0
7.205 0.000 0.000
0.000 7.205 0.000
0.000 0.000 2.966
Ru Ge Ta
4 4 2
Direct
0.862 0.638 0.000 Ru
0.362 0.862 0.000 Ru
0.638 0.138 0.000 Ru
0.138 0.362 0.000 Ru
0.840 0.340 0.500 Ge
0.340 0.160 0.500 Ge
0.660 0.840 0.500 Ge
0.160 0.660 0.500 Ge
0.000 0.000 0.000 Ta
0.500 0.500 0.000 Ta
```

Output
The formation energy comes out at -0.26 eV/f.u. Its space group is No. 127. For the density, the calculation gives 11.395 g cm⁻³.

***

Entry 2:
Entry from the Alexandria database: crystalline CeCdBi at its relaxed geometry (PBE).

Cell and atoms, written as POSCAR:
```
CeCdBi
1.0
-2.831 -3.322 0.134
2.875 -2.572 -2.992
0.602 -0.318 4.834
Cd Ce Bi
1 1 1
Direct
0.307 0.333 0.667 Cd
0.637 0.667 0.333 Ce
0.056 0.000 0.000 Bi
```

Output
The formation energy comes out at -1.00 eV/f.u. For the energy above the most stable polymorph in this dataset, the calculation gives 0.036 eV/atom. Its space group is No. 156. For the density, the calculation gives 8.503 g cm⁻³.

***

Entry 3:
Entry from the Alexandria database: crystalline Si3Br at its relaxed geometry (PBE).

Cell and atoms, written as POSCAR:
```
Si3Br
1.0
4.915 0.002 0.000
-0.002 4.915 0.000
0.000 0.000 3.012
Si Br
3 1
Direct
0.500 0.500 0.000 Si
0.000 0.500 0.500 Si
0.500 0.000 0.500 Si
0.000 0.000 0.000 Br
```

Output
For the energy above the most stable polymorph in this dataset, the calculation gives 0.493 eV/atom. The calculation puts the uncorrected formation energy at 0.752 eV/atom. Its space group is No. 123. For the density, the calculation gives 3.746 g cm⁻³.

***

Entry 4:
Entry from the Alexandria database: crystalline Ce3ErAl8 at its relaxed geometry (PBE).

Cell and atoms, written as POSCAR:
```
Ce3ErAl8
1.0
5.609 0.000 0.000
-2.805 4.858 0.000
0.000 0.000 9.050
Al Ce Er
8 3 1
Direct
0.333 0.667 0.499 Al
0.505 0.495 0.747 Al
0.162 0.838 0.252 Al
0.505 0.010 0.747 Al
0.990 0.495 0.747 Al
0.676 0.838 0.252 Al
0.162 0.324 0.252 Al
0.333 0.667 0.998 Al
0.667 0.333 0.085 Ce
0.000 0.000 0.934 Ce
0.667 0.333 0.415 Ce
0.000 0.000 0.570 Er
```

Output
The formation energy comes out at -5.49 eV/f.u. For the energy above the most stable polymorph in this dataset, the calculation gives 0.007 eV/atom. Its space group is No. 156. For the density, the calculation gives 5.411 g cm⁻³.

***

Entry 5:
Entry from the Alexandria database: crystalline K2GeSbSe5 at its relaxed geometry (PBE).

Cell and atoms, written as POSCAR:
```
K2GeSbSe5
1.0
-3.649 -1.307 -0.265
4.812 -6.225 -7.077
2.631 -9.377 10.036
Se K Sb Ge
10 4 2 2
Direct
0.509 0.019 0.784 Se
0.663 0.326 0.493 Se
0.043 0.086 0.033 Se
0.678 0.356 0.889 Se
0.957 0.914 0.533 Se
0.337 0.674 0.993 Se
0.322 0.644 0.389 Se
0.491 0.981 0.284 Se
0.280 0.560 0.675 Se
0.720 0.440 0.175 Se
0.118 0.236 0.674 K
0.119 0.238 0.311 K
0.881 0.762 0.811 K
0.882 0.764 0.174 K
0.218 0.436 0.037 Sb
0.782 0.564 0.537 Sb
0.565 0.130 0.927 Ge
0.435 0.870 0.427 Ge
```

Output
The calculation puts the uncorrected formation energy at -0.600 eV/atom. Its space group is No. 36. For the density, the calculation gives 3.922 g cm⁻³.

***

Entry 6:
Entry from the Alexandria database: crystalline Y4Ho at its relaxed geometry (PBE).

Cell and atoms, written as POSCAR:
```
Y4Ho
1.0
-2.235 2.493 -1.221
-2.608 -0.900 -2.255
-10.443 -1.926 10.093
Y Ho
4 1
Direct
0.200 0.200 0.399 Y
0.601 0.601 0.199 Y
0.399 0.399 0.801 Y
0.800 0.800 0.601 Y
0.000 0.000 0.000 Ho
```

Output
The formation energy comes out at 0.13 eV/f.u. For the energy above the most stable polymorph in this dataset, the calculation gives 0.000 eV/atom. Its space group is No. 12. For the density, the calculation gives 5.413 g cm⁻³.

***

Entry 7:
Entry from the Alexandria database: crystalline TbSmMnAg at its relaxed geometry (PBE).

Cell and atoms, written as POSCAR:
```
TbSmMnAg
1.0
5.151 0.000 0.000
2.576 4.461 0.000
2.576 1.487 4.206
Tb Sm Ag Mn
1 1 1 1
Direct
0.000 0.000 0.000 Tb
0.500 0.500 0.500 Sm
0.250 0.250 0.250 Ag
0.750 0.750 0.750 Mn
```

Output
The formation energy comes out at 0.06 eV/f.u. Its space group is No. 216. For the density, the calculation gives 8.111 g cm⁻³.

***

Entry 8:
Entry from the Alexandria database: crystalline Pm4Nd2Tm at its relaxed geometry (PBE).

Cell and atoms, written as POSCAR:
```
Pm4Nd2Tm
1.0
3.636 0.000 0.000
1.818 3.149 0.000
1.818 1.050 20.725
Pm Tm Nd
4 1 2
Direct
0.143 0.143 0.572 Pm
0.713 0.713 0.861 Pm
0.857 0.857 0.428 Pm
0.287 0.287 0.139 Pm
0.000 0.000 0.000 Tm
0.428 0.428 0.716 Nd
0.572 0.572 0.284 Nd
```

Output
The formation energy comes out at 0.10 eV/f.u. For the energy above the most stable polymorph in this dataset, the calculation gives 0.000 eV/atom. Its space group is No. 166. For the density, the calculation gives 7.259 g cm⁻³.